[1]
{"formula": "Zr2Sc", "functional": "GGA-PBE", "state": "relaxed", "crystal_system": "monoclinic", "energy_ev_per_atom": -7.83, "lattice": [[11.677, 0.000, 0.000], [0.000, 3.231, 0.000], [-1.790, 0.000, 7.488]], "species": ["Zr", "Zr", "Zr", "Zr", "Zr", "Zr", "Zr", "Zr", "Sc", "Sc", "Sc", "Sc"], "fractional_positions": [[0.032, 0.000, 0.307], [0.191, 0.500, 0.636], [0.309, 0.000, 0.364], [0.468, 0.500, 0.693], [0.532, 0.500, 0.307], [0.691, 0.000, 0.636], [0.809, 0.500, 0.364], [0.968, 0.000, 0.693], [0.136, 0.500, 0.022], [0.364, 0.000, 0.978], [0.636, 0.000, 0.022], [0.864, 0.500, 0.978]]}

[2]
{"formula": "RbAlCr2B", "functional": "GGA-PBE", "state": "relaxed", "crystal_system": "tetragonal", "energy_ev_per_atom": -5.17, "lattice": [[4.615, 0.000, 0.000], [0.000, 4.615, 0.000], [0.000, 0.000, 4.347]], "species": ["Rb", "Al", "Cr", "Cr", "B"], "fractional_positions": [[0.000, 0.000, 0.000], [0.500, 0.500, 0.000], [0.000, 0.500, 0.500], [0.500, 0.000, 0.500], [0.500, 0.500, 0.500]]}

[3]
{"formula": "LaTlFeSn2", "functional": "GGA-PBE", "state": "relaxed", "crystal_system": "tetragonal", "energy_ev_per_atom": -4.98, "lattice": [[5.053, 0.000, 0.000], [0.000, 5.053, 0.000], [0.000, 0.000, 5.068]], "species": ["La", "Tl", "Fe", "Sn", "Sn"], "fractional_positions": [[0.000, 0.000, 0.000], [0.500, 0.500, 0.000], [0.000, 0.000, 0.500], [0.000, 0.500, 0.500], [0.500, 0.000, 0.500]]}

[4]
{"formula": "PmCrH6", "functional": "GGA-PBE", "state": "relaxed", "crystal_system": "trigonal", "energy_ev_per_atom": -4.51, "lattice": [[3.135, 1.810, 2.090], [-3.135, 1.810, 2.090], [0.000, -3.621, 2.090]], "species": ["Pm", "Cr", "H", "H", "H", "H", "H", "H"], "fractional_positions": [[0.000, 0.000, 0.000], [0.500, 0.500, 0.500], [0.200, 0.200, 0.554], [0.200, 0.554, 0.200], [0.446, 0.800, 0.800], [0.554, 0.200, 0.200], [0.800, 0.446, 0.800], [0.800, 0.800, 0.446]]}

[5]
{"formula": "Pm12DyRh7", "functional": "GGA-PBE", "state": "relaxed", "crystal_system": "trigonal", "energy_ev_per_atom": -6.14, "lattice": [[7.193, 4.153, 3.318], [-7.193, 4.153, 3.318], [0.000, -8.306, 3.318]], "species": ["Pm", "Pm", "Pm", "Pm", "Pm", "Pm", "Pm", "Pm", "Pm", "Pm", "Pm", "Pm", "Dy", "Rh", "Rh", "Rh", "Rh", "Rh", "Rh", "Rh"], "fractional_positions": [[0.039, 0.344, 0.119], [0.119, 0.039, 0.344], [0.191, 0.724, 0.576], [0.276, 0.424, 0.809], [0.344, 0.119, 0.039], [0.424, 0.809, 0.276], [0.576, 0.191, 0.724], [0.656, 0.881, 0.961], [0.724, 0.576, 0.191], [0.809, 0.276, 0.424], [0.881, 0.961, 0.656], [0.961, 0.656, 0.881], [0.500, 0.500, 0.500], [0.000, 0.000, 0.000], [0.149, 0.379, 0.464], [0.379, 0.464, 0.149], [0.464, 0.149, 0.379], [0.536, 0.851, 0.621], [0.621, 0.536, 0.851], [0.851, 0.621, 0.536]]}

[6]
{"formula": "GdLuTlRu", "functional": "GGA-PBE", "state": "relaxed", "crystal_system": "cubic", "energy_ev_per_atom": -7.81, "lattice": [[7.150, 0.000, 0.000], [0.000, 7.150, 0.000], [0.000, 0.000, 7.150]], "species": ["Gd", "Gd", "Gd", "Gd", "Lu", "Lu", "Lu", "Lu", "Tl", "Tl", "Tl", "Tl", "Ru", "Ru", "Ru", "Ru"], "fractional_positions": [[0.000, 0.000, 0.000], [0.000, 0.500, 0.500], [0.500, 0.000, 0.500], [0.500, 0.500, 0.000], [0.000, 0.000, 0.500], [0.000, 0.500, 0.000], [0.500, 0.000, 0.000], [0.500, 0.500, 0.500], [0.250, 0.250, 0.750], [0.250, 0.750, 0.250], [0.750, 0.250, 0.250], [0.750, 0.750, 0.750], [0.250, 0.250, 0.250], [0.250, 0.750, 0.750], [0.750, 0.250, 0.750], [0.750, 0.750, 0.250]]}

[7]
{"formula": "Cs2NbBiBr6", "functional": "GGA-PBE", "state": "relaxed", "crystal_system": "tetragonal", "e_form_raw_ev_per_atom": -0.963, "lattice": [[-3.941, 3.941, 6.467], [3.941, -3.941, 6.467], [3.941, 3.941, -6.467]], "species": ["Cs", "Cs", "Nb", "Bi", "Br", "Br", "Br", "Br", "Br", "Br"], "fractional_positions": [[0.250, 0.750, 0.500], [0.750, 0.250, 0.500], [0.000, 0.000, 0.000], [0.500, 0.500, 0.000], [0.207, 0.207, 0.000], [0.241, 0.241, 0.482], [0.241, 0.759, 0.000], [0.759, 0.241, 0.000], [0.759, 0.759, 0.518], [0.793, 0.793, 0.000]]}

[8]
{"formula": "CuSnOsC", "functional": "GGA-PBE", "state": "relaxed", "relative_energy_ev_per_atom": 0.509, "crystal_system": "triclinic", "lattice": [[3.083, 0.000, 0.000], [-1.465, 4.799, 0.000], [-1.510, -2.139, 4.374]], "species": ["Cu", "Sn", "Os", "C"], "fractional_positions": [[0.000, 0.000, 0.000], [0.094, 0.510, 0.644], [0.612, 0.839, 0.373], [0.301, 0.432, 0.148]]}

[9]
{"formula": "Ca2TaZn", "functional": "GGA-PBE", "state": "relaxed", "crystal_system": "tetragonal", "energy_ev_per_atom": -3.68, "lattice": [[5.622, 0.000, 0.000], [0.000, 5.622, 0.000], [0.000, 0.000, 3.184]], "species": ["Ca", "Ca", "Ta", "Zn"], "fractional_positions": [[0.000, 0.500, 0.000], [0.500, 0.000, 0.000], [0.000, 0.000, 0.500], [0.500, 0.500, 0.500]]}

[10]
{"formula": "MnSe2Br", "functional": "GGA-PBE", "state": "relaxed", "relative_energy_ev_per_atom": 0.285, "crystal_system": "orthorhombic", "e_form_raw_ev_per_atom": -0.076, "lattice": [[2.726, 0.000, 0.000], [0.000, 6.959, 0.000], [0.000, 0.000, 12.365]], "species": ["Mn", "Mn", "Se", "Se", "Se", "Se", "Br", "Br"], "fractional_positions": [[0.000, 0.000, 0.000], [0.500, 0.500, 0.500], [0.000, 0.500, 0.336], [0.000, 0.500, 0.664], [0.500, 0.000, 0.164], [0.500, 0.000, 0.836], [0.000, 0.000, 0.500], [0.500, 0.500, 0.000]]}

[11]
{"formula": "Mg5PbCl12", "functional": "GGA-PBE", "state": "relaxed", "crystal_system": "monoclinic", "e_form_raw_ev_per_atom": -1.715, "lattice": [[3.278, -5.683, 0.000], [3.278, 5.683, 0.000], [-0.025, 0.000, 13.206]], "species": ["Mg", "Mg", "Mg", "Mg", "Mg", "Pb", "Cl", "Cl", "Cl", "Cl", "Cl", "Cl", "Cl", "Cl", "Cl", "Cl", "Cl", "Cl"], "fractional_positions": [[0.000, 0.000, 0.000], [0.167, 0.833, 0.500], [0.333, 0.667, 0.000], [0.667, 0.333, 0.000], [0.833, 0.167, 0.500], [0.500, 0.500, 0.500], [0.000, 0.333, 0.899], [0.000, 0.667, 0.101], [0.123, 0.500, 0.389], [0.124, 0.124, 0.611], [0.333, 0.000, 0.899], [0.334, 0.334, 0.101], [0.500, 0.123, 0.389], [0.500, 0.877, 0.611], [0.666, 0.666, 0.899], [0.667, 0.000, 0.101], [0.876, 0.876, 0.389], [0.877, 0.500, 0.611]]}

[12]
{"formula": "ThGe2MoOs", "functional": "GGA-PBE", "state": "relaxed", "crystal_system": "tetragonal", "energy_ev_per_atom": -8.07, "lattice": [[4.276, 0.000, 0.000], [0.000, 4.276, 0.000], [0.000, 0.000, 10.452]], "species": ["Th", "Th", "Ge", "Ge", "Ge", "Ge", "Mo", "Mo", "Os", "Os"], "fractional_positions": [[0.000, 0.000, 0.000], [0.500, 0.500, 0.500], [0.000, 0.000, 0.377], [0.000, 0.000, 0.623], [0.500, 0.500, 0.123], [0.500, 0.500, 0.877], [0.000, 0.500, 0.750], [0.500, 0.000, 0.250], [0.000, 0.500, 0.250], [0.500, 0.000, 0.750]]}